AcTaFe2O6 (PBE with a Hubbard U, relaxed); DOS at the Fermi energy = 0.000 states/eV/f.u.; E_tot = -7.96 eV/atom; SG = P1; size of the total moment = 5.9 μB per cell
1.0
5.4931 0.0000 0.0000
-2.6607 4.8087 0.0000
-0.1064 -3.0269 4.9473
Ac Ta Fe O
1 1 2 6
direct
0.0000 0.0000 0.0000
0.5217 0.0557 0.5786
0.2267 0.4535 0.6615
0.7343 0.4720 0.1962
0.1390 0.6242 0.4120
0.3881 0.3233 0.8696
0.4413 0.2568 0.4007
0.5508 0.9554 0.8737
0.7752 0.9349 0.3993
0.9164 0.4724 0.8516